Record 1
Pm2MgPd3Au12 | PBE | relaxed

Values from the calculation:
DFT total energy	-3.686	eV/atom
total moment	0.000	μB/cell
symmetry	R-3m (166)
energy relative to the elements	-0.35	eV/f.u.

Cell lengths 8.199, 8.199, 8.199 Å; angles 64.13, 64.13, 64.13 degrees
Fractional positions:
Pm 0.110 0.110 0.110
Pm 0.890 0.890 0.890
Mg 0.500 0.500 0.500
Pd 0.000 0.500 0.500
Pd 0.500 0.000 0.500
Pd 0.500 0.500 0.000
Au 0.123 0.642 0.642
Au 0.125 0.125 0.616
Au 0.125 0.616 0.125
Au 0.358 0.358 0.877
Au 0.358 0.877 0.358
Au 0.384 0.875 0.875
Au 0.616 0.125 0.125
Au 0.642 0.123 0.642
Au 0.642 0.642 0.123
Au 0.875 0.384 0.875
Au 0.875 0.875 0.384
Au 0.877 0.358 0.358

---

Record 2
Pr2MgPd3Au12 | PBE | relaxed

Values from the calculation:
DFT total energy	-3.692	eV/atom
total moment	0.000	μB/cell
symmetry	R-3m (166)
energy relative to the elements	-0.39	eV/f.u.

Cell lengths 8.262, 8.262, 8.262 Å; angles 63.86, 63.86, 63.86 degrees
Fractional positions:
Pr 0.108 0.108 0.108
Pr 0.892 0.892 0.892
Mg 0.500 0.500 0.500
Pd 0.000 0.500 0.500
Pd 0.500 0.000 0.500
Pd 0.500 0.500 0.000
Au 0.126 0.126 0.577
Au 0.126 0.577 0.126
Au 0.129 0.641 0.641
Au 0.359 0.359 0.871
Au 0.359 0.871 0.359
Au 0.423 0.874 0.874
Au 0.577 0.126 0.126
Au 0.641 0.129 0.641
Au 0.641 0.641 0.129
Au 0.871 0.359 0.359
Au 0.874 0.423 0.874
Au 0.874 0.874 0.423

---

Record 3
PrMgPdAu | PBE | relaxed

Values from the calculation:
DFT total energy	-4.447	eV/atom
total moment	0.000	μB/cell
symmetry	R3m (160)
energy relative to the elements	-2.94	eV/f.u.

Cell lengths 5.451, 5.451, 5.451 Å; angles 50.69, 50.69, 50.69 degrees
Fractional positions:
Pr 0.000 0.000 0.000
Mg 0.495 0.495 0.495
Pd 0.784 0.784 0.784
Au 0.217 0.217 0.217

---

Record 4
Mg4PdPt2Au | PBE | relaxed

Values from the calculation:
DFT total energy	-4.131	eV/atom
total moment	0.000	μB/cell
symmetry	R-3m (166)
energy relative to the elements	-6.12	eV/f.u.

Cell lengths 7.832, 7.832, 7.832 Å; angles 33.70, 33.70, 33.70 degrees
Fractional positions:
Mg 0.123 0.123 0.123
Mg 0.373 0.373 0.373
Mg 0.627 0.627 0.627
Mg 0.877 0.877 0.877
Pd 0.000 0.000 0.000
Pt 0.250 0.250 0.250
Pt 0.750 0.750 0.750
Au 0.500 0.500 0.500

---

Record 5
Mg2Pd5PtAu | PBE | relaxed

Values from the calculation:
DFT total energy	-4.270	eV/atom
total moment	0.000	μB/cell
symmetry	I4/mcm (140)
energy relative to the elements	0.04	eV/f.u.

Cell lengths 7.706, 7.706, 7.706 Å; angles 123.28, 123.28, 84.41 degrees
Fractional positions:
Mg 0.115 0.615 0.731
Mg 0.385 0.115 0.500
Mg 0.615 0.885 0.500
Mg 0.885 0.385 0.269
Pd 0.000 0.000 0.000
Pd 0.078 0.155 0.500
Pd 0.155 0.655 0.077
Pd 0.345 0.422 0.500
Pd 0.422 0.922 0.077
Pd 0.500 0.500 0.000
Pd 0.578 0.078 0.923
Pd 0.655 0.578 0.500
Pd 0.845 0.345 0.923
Pd 0.922 0.845 0.500
Pt 0.250 0.250 0.000
Pt 0.750 0.750 0.000
Au 0.250 0.750 0.500
Au 0.750 0.250 0.500

---

Record 6
Mg4Pd2PtAu | PBE | relaxed

Values from the calculation:
DFT total energy	-3.999	eV/atom
total moment	0.000	μB/cell
symmetry	R-3m (166)
energy relative to the elements	-5.91	eV/f.u.

Cell lengths 7.840, 7.840, 7.840 Å; angles 33.70, 33.70, 33.70 degrees
Fractional positions:
Mg 0.123 0.123 0.123
Mg 0.373 0.373 0.373
Mg 0.627 0.627 0.627
Mg 0.877 0.877 0.877
Pd 0.250 0.250 0.250
Pd 0.750 0.750 0.750
Pt 0.000 0.000 0.000
Au 0.500 0.500 0.500

---

Record 7
MgRe2PdAu | PBE | relaxed

Values from the calculation:
DFT total energy	-5.255	eV/atom
total moment	1.778	μB/cell
symmetry	P4/mmm (123)
energy relative to the elements	8.68	eV/f.u.

Cell lengths 4.742, 4.742, 4.654 Å; angles 90.00, 90.00, 90.00 degrees
Fractional positions:
Mg 0.000 0.000 0.000
Re 0.000 0.500 0.500
Re 0.500 0.000 0.500
Pd 0.000 0.000 0.500
Au 0.500 0.500 0.000

---

Record 8
MgPdRhAu2 | PBE | relaxed

Values from the calculation:
DFT total energy	-3.452	eV/atom
total moment	1.160	μB/cell
symmetry	P4/mmm (123)
energy relative to the elements	3.43	eV/f.u.

Cell lengths 5.024, 5.024, 4.806 Å; angles 90.00, 90.00, 90.00 degrees
Fractional positions:
Mg 0.000 0.000 0.000
Pd 0.500 0.500 0.000
Rh 0.500 0.500 0.500
Au 0.000 0.500 0.500
Au 0.500 0.000 0.500

---

Record 9
Mg4PdRh2Au | PBE | relaxed

Values from the calculation:
DFT total energy	-4.303	eV/atom
total moment	0.000	μB/cell
symmetry	R-3m (166)
energy relative to the elements	-4.87	eV/f.u.

Cell lengths 7.756, 7.756, 7.756 Å; angles 33.53, 33.53, 33.53 degrees
Fractional positions:
Mg 0.123 0.123 0.123
Mg 0.373 0.373 0.373
Mg 0.627 0.627 0.627
Mg 0.877 0.877 0.877
Pd 0.000 0.000 0.000
Rh 0.249 0.249 0.249
Rh 0.751 0.751 0.751
Au 0.500 0.500 0.500

---

Record 10
MgPdRuAu2 | PBE | relaxed

Values from the calculation:
DFT total energy	-3.676	eV/atom
total moment	0.328	μB/cell
symmetry	P4/mmm (123)
energy relative to the elements	4.24	eV/f.u.

Cell lengths 5.043, 5.043, 4.720 Å; angles 90.00, 90.00, 90.00 degrees
Fractional positions:
Mg 0.000 0.000 0.000
Pd 0.500 0.500 0.000
Ru 0.500 0.500 0.500
Au 0.000 0.500 0.500
Au 0.500 0.000 0.500

---

Record 11
MgSbPdAu | PBE | relaxed

Values from the calculation:
DFT total energy	-3.906	eV/atom
formation energy (no corrections)	-358.7	meV per atom
total moment	0.000	μB/cell
symmetry	F-43m (216)

Cell lengths 4.748, 4.748, 4.748 Å; angles 60.00, 60.00, 60.00 degrees
Fractional positions:
Mg 0.000 0.000 0.000
Sb 0.500 0.500 0.500
Pd 0.750 0.750 0.750
Au 0.250 0.250 0.250

---

Record 12
MgSiPdAu | PBE | relaxed

Values from the calculation:
DFT total energy	-4.266	eV/atom
formation energy (no corrections)	-394.2	meV per atom
total moment	0.000	μB/cell
symmetry	F-43m (216)

Cell lengths 4.484, 4.484, 4.484 Å; angles 60.00, 60.00, 60.00 degrees
Fractional positions:
Mg 0.000 0.000 0.000
Si 0.500 0.500 0.500
Pd 0.250 0.250 0.250
Au 0.750 0.750 0.750

---

Record 13
Sr2MgPd3Au12 | PBE | relaxed

Values from the calculation:
DFT total energy	-3.367	eV/atom
total moment	0.000	μB/cell
symmetry	R-3m (166)
energy relative to the elements	-0.75	eV/f.u.

Cell lengths 8.428, 8.428, 8.428 Å; angles 63.71, 63.71, 63.71 degrees
Fractional positions:
Sr 0.113 0.113 0.113
Sr 0.887 0.887 0.887
Mg 0.500 0.500 0.500
Pd 0.000 0.500 0.500
Pd 0.500 0.000 0.500
Pd 0.500 0.500 0.000
Au 0.137 0.137 0.530
Au 0.137 0.530 0.137
Au 0.144 0.630 0.630
Au 0.370 0.370 0.856
Au 0.370 0.856 0.370
Au 0.470 0.863 0.863
Au 0.530 0.137 0.137
Au 0.630 0.144 0.630
Au 0.630 0.630 0.144
Au 0.856 0.370 0.370
Au 0.863 0.470 0.863
Au 0.863 0.863 0.470

---

Record 14
ThMgPdAu | PBE | relaxed

Values from the calculation:
DFT total energy	-5.050	eV/atom
total moment	0.000	μB/cell
symmetry	F-43m (216)
energy relative to the elements	-2.71	eV/f.u.

Cell lengths 4.983, 4.983, 4.983 Å; angles 60.00, 60.00, 60.00 degrees
Fractional positions:
Th 0.000 0.000 0.000
Mg 0.500 0.500 0.500
Pd 0.750 0.750 0.750
Au 0.250 0.250 0.250

---

Record 15
MgTlPdAu | PBE | relaxed

Values from the calculation:
DFT total energy	-3.414	eV/atom
total moment	0.000	μB/cell
symmetry	F-43m (216)
energy relative to the elements	-1.23	eV/f.u.

Cell lengths 4.737, 4.737, 4.737 Å; angles 60.00, 60.00, 60.00 degrees
Fractional positions:
Mg 0.000 0.000 0.000
Tl 0.500 0.500 0.500
Pd 0.750 0.750 0.750
Au 0.250 0.250 0.250

---

Record 16
TmMgPdAu | PBE | relaxed

Values from the calculation:
DFT total energy	-4.438	eV/atom
total moment	0.000	μB/cell
symmetry	F-43m (216)
energy relative to the elements	-3.22	eV/f.u.

Cell lengths 4.796, 4.796, 4.796 Å; angles 60.00, 60.00, 60.00 degrees
Fractional positions:
Tm 0.000 0.000 0.000
Mg 0.500 0.500 0.500
Pd 0.250 0.250 0.250
Au 0.750 0.750 0.750

---

Record 17
YMgPd2Au | PBE | relaxed

Values from the calculation:
DFT total energy	-3.539	eV/atom
total moment	0.000	μB/cell
symmetry	P4/mmm (123)
energy relative to the elements	4.03	eV/f.u.

Cell lengths 4.961, 4.961, 5.783 Å; angles 90.00, 90.00, 90.00 degrees
Fractional positions:
Y 0.000 0.000 0.000
Mg 0.000 0.000 0.500
Pd 0.000 0.500 0.000
Pd 0.500 0.000 0.000
Au 0.500 0.500 0.500

---

Record 18
MgZnPdAu | PBE | relaxed

Values from the calculation:
DFT total energy	-3.373	eV/atom
total moment	0.000	μB/cell
symmetry	Pmmm (47)
energy relative to the elements	-2.15	eV/f.u.

Cell lengths 3.586, 4.227, 4.234 Å; angles 90.00, 90.00, 90.00 degrees
Fractional positions:
Mg 0.000 0.000 0.000
Zn 0.000 0.500 0.500
Pd 0.500 0.000 0.500
Au 0.500 0.500 0.000

---

Record 19
Mg3Zn2PdAu3 | PBE | relaxed

Values from the calculation:
DFT total energy	-2.909	eV/atom
total moment	0.000	μB/cell
symmetry	P-62m (189)
energy relative to the elements	-3.82	eV/f.u.

Cell lengths 7.812, 7.812, 2.882 Å; angles 90.00, 90.00, 120.00 degrees
Fractional positions:
Mg 0.000 0.715 0.000
Mg 0.285 0.285 0.000
Mg 0.715 0.000 0.000
Zn 0.333 0.667 0.000
Zn 0.667 0.333 0.000
Pd 0.000 0.000 0.500
Au 0.000 0.382 0.500
Au 0.382 0.000 0.500
Au 0.618 0.618 0.500

---

Record 20
Pm3MgAu2 | PBE | relaxed

Values from the calculation:
DFT total energy	-4.290	eV/atom
total moment	0.000	μB/cell
symmetry	P4/mmm (123)
energy relative to the elements	-3.34	eV/f.u.

Cell lengths 3.747, 3.747, 11.200 Å; angles 90.00, 90.00, 90.00 degrees
Fractional positions:
Pm 0.000 0.000 0.000
Pm 0.000 0.000 0.322
Pm 0.000 0.000 0.678
Mg 0.500 0.500 0.500
Au 0.500 0.500 0.169
Au 0.500 0.500 0.831

---

Record 21
Pm2MgAu6 | PBE | relaxed

Values from the calculation:
DFT total energy	-4.046	eV/atom
total moment	0.000	μB/cell
symmetry	C2/m (12)
energy relative to the elements	-5.66	eV/f.u.

Cell lengths 6.379, 6.379, 5.569 Å; angles 90.04, 90.04, 59.89 degrees
Fractional positions:
Pm 0.167 0.167 0.169
Pm 0.833 0.833 0.831
Mg 0.500 0.500 0.000
Au 0.135 0.682 0.314
Au 0.317 0.317 0.687
Au 0.318 0.865 0.686
Au 0.682 0.135 0.314
Au 0.683 0.683 0.313
Au 0.865 0.318 0.686

---

Record 22
Pm3Mg7Au2 | PBE | relaxed

Values from the calculation:
DFT total energy	-2.960	eV/atom
total moment	0.000	μB/cell
symmetry	R-3m (166)
energy relative to the elements	-3.55	eV/f.u.

Cell lengths 10.123, 10.123, 10.123 Å; angles 34.28, 34.28, 34.28 degrees
Fractional positions:
Pm 0.000 0.000 0.000
Pm 0.146 0.146 0.146
Pm 0.854 0.854 0.854
Mg 0.075 0.579 0.579
Mg 0.421 0.421 0.925
Mg 0.421 0.925 0.421
Mg 0.500 0.500 0.500
Mg 0.579 0.075 0.579
Mg 0.579 0.579 0.075
Mg 0.925 0.421 0.421
Au 0.334 0.334 0.334
Au 0.666 0.666 0.666

---

Record 23
Pm2Mg5Au4 | PBE | relaxed

Values from the calculation:
DFT total energy	-3.253	eV/atom
total moment	0.000	μB/cell
symmetry	Fmmm (69)
energy relative to the elements	-5.19	eV/f.u.

Cell lengths 9.498, 7.795, 6.846 Å; angles 80.60, 54.07, 45.32 degrees
Fractional positions:
Pm 0.160 0.160 0.840
Pm 0.840 0.840 0.160
Mg 0.000 0.000 0.500
Mg 0.250 0.250 0.250
Mg 0.500 0.500 0.000
Mg 0.500 0.500 0.500
Mg 0.750 0.750 0.750
Au 0.233 0.478 0.522
Au 0.478 0.233 0.767
Au 0.522 0.767 0.233
Au 0.767 0.522 0.478

---

Record 24
Pm3Mg7Au4 | PBE | relaxed

Values from the calculation:
DFT total energy	-3.274	eV/atom
total moment	0.000	μB/cell
symmetry	C2/m (12)
energy relative to the elements	-7.31	eV/f.u.

Cell lengths 8.602, 8.602, 10.488 Å; angles 122.79, 122.79, 30.17 degrees
Fractional positions:
Pm 0.000 0.000 0.000
Pm 0.307 0.307 0.295
Pm 0.693 0.693 0.705
Mg 0.000 0.000 0.500
Mg 0.165 0.165 0.430
Mg 0.320 0.320 0.984
Mg 0.488 0.488 0.701
Mg 0.512 0.512 0.299
Mg 0.680 0.680 0.016
Mg 0.835 0.835 0.570
Au 0.114 0.114 0.828
Au 0.338 0.338 0.737
Au 0.662 0.662 0.263
Au 0.886 0.886 0.172